SmS | PBE | optimized geometry

Cell: 4.433 4.433 28.870 Å, 90.00 90.00 120.00°
Sites, in units of the cell vectors:
Sm 0.000 0.000 0.000
S 0.333 0.667 0.844
S 0.333 0.667 0.219
Sm 0.333 0.667 0.125
Sm 0.667 0.333 0.250
Sm 0.333 0.667 0.375
Sm 0.333 0.667 0.750
Sm 0.000 0.000 0.500
Sm 0.667 0.333 0.875
S 0.000 0.000 0.094
S 0.333 0.667 0.468
S 0.667 0.333 0.719
S 0.000 0.000 0.594
Sm 0.667 0.333 0.625
S 0.667 0.333 0.968
S 0.667 0.333 0.344

Summary:
* energy above the most stable polymorph in this dataset: 46.3 kJ/mol of atoms
* final energy: -5.968 eV/atom
* calculated volume: 30.71 Å³/atom

=====

HgSb4 | PBE | optimized geometry

Cell: 6.696 5.766 9.273 Å, 90.00 111.35 90.00°
Sites, in units of the cell vectors:
Hg 0.000 0.500 0.500
Sb 0.395 0.834 0.564
Sb 0.395 0.666 0.064
Sb 0.793 0.652 0.777
Hg 0.000 0.000 0.000
Sb 0.605 0.334 0.936
Sb 0.207 0.348 0.223
Sb 0.207 0.152 0.723
Sb 0.605 0.166 0.436
Sb 0.793 0.848 0.277

Summary:
* final energy: -3.258 eV/atom
* calculated volume: 33.34 Å³/atom

=====

final energy of number 1 (SmS)? -5.968 eV/atom